First-principles (PBE) data for a geometry-optimized AlHgSO structure, as listed in OQMD via LeMat-Bulk.

SG: P2_1/c, No. 14

a b c (Å): 7.630 6.589 5.429
angles (deg): 90.00 90.23 90.00
Atoms (fractional coordinates):
Al  0.001  0.090  0.262
Al  0.001  0.410  0.762
Al  0.999  0.590  0.238
Al  0.999  0.910  0.738
Hg  0.416  0.675  0.008
Hg  0.416  0.825  0.508
Hg  0.584  0.175  0.492
Hg  0.584  0.325  0.992
S  0.248  0.012  0.992
S  0.248  0.488  0.492
S  0.752  0.512  0.508
S  0.752  0.988  0.008
O  0.001  0.667  0.909
O  0.001  0.833  0.409
O  0.999  0.167  0.591
O  0.999  0.333  0.091

---

First-principles (PBE) data for a geometry-optimized NaCdFeSe3 structure, as listed in OQMD via LeMat-Bulk.

SG: P2_1/m, No. 11

a b c (Å): 8.223 3.796 9.695
angles (deg): 90.00 105.09 90.00
Atoms (fractional coordinates):
Na  0.233  0.250  0.258
Na  0.767  0.750  0.742
Cd  0.325  0.750  0.893
Cd  0.675  0.250  0.107
Fe  0.078  0.250  0.599
Fe  0.922  0.750  0.401
Se  0.064  0.250  0.838
Se  0.215  0.750  0.523
Se  0.461  0.750  0.177
Se  0.539  0.250  0.823
Se  0.785  0.250  0.477
Se  0.936  0.750  0.162

---

First-principles (PBE) data for a geometry-optimized LuMgAg structure, as listed in OQMD via LeMat-Bulk.

SG: F-43m, No. 216

a b c (Å): 4.748 4.748 4.748
angles (deg): 60.00 60.00 60.00
Atoms (fractional coordinates):
Lu  0.000  0.000  0.000
Mg  0.500  0.500  0.500
Ag  0.250  0.250  0.250

---

First-principles (PBE) data for a geometry-optimized Cd2PHF10 structure, as listed in OQMD via LeMat-Bulk.

SG: P-1, No. 2

a b c (Å): 4.237 4.506 7.930
angles (deg): 89.45 79.86 78.70
Atoms (fractional coordinates):
Cd  0.168  0.067  0.176
Cd  0.832  0.933  0.824
P  0.500  0.500  0.500
H  0.500  0.500  0.000
F  0.227  0.743  0.424
F  0.242  0.501  0.678
F  0.266  0.540  0.100
F  0.290  0.018  0.881
F  0.367  0.229  0.424
F  0.633  0.771  0.576
F  0.710  0.982  0.119
F  0.734  0.460  0.900
F  0.758  0.499  0.322
F  0.773  0.257  0.576

---

First-principles (PBE) data for a geometry-optimized CdTePtO structure, as listed in OQMD via LeMat-Bulk.

SG: P4/nmm, No. 129

a b c (Å): 4.282 4.282 8.786
angles (deg): 90.00 90.00 90.00
Atoms (fractional coordinates):
Cd  0.250  0.250  0.200
Cd  0.750  0.750  0.800
Te  0.250  0.250  0.844
Te  0.750  0.750  0.156
Pt  0.250  0.250  0.533
Pt  0.750  0.750  0.467
O  0.250  0.750  0.500
O  0.750  0.250  0.500

---

First-principles (PBE) data for a geometry-optimized Rb2Pr2S3O structure, as listed in OQMD via LeMat-Bulk.

SG: P3m1, No. 156

a b c (Å): 4.068 4.068 15.015
angles (deg): 90.00 90.00 120.00
Atoms (fractional coordinates):
Rb  0.000  0.000  0.000
Rb  0.333  0.667  0.528
Pr  0.667  0.333  0.266
Pr  0.667  0.333  0.738
S  0.000  0.000  0.376
S  0.333  0.667  0.161
S  0.333  0.667  0.849
O  0.000  0.000  0.672

---

Number 1: energy -18.329 eV per formula unit. Number 2: energy -23.760 eV per formula unit. Number 3: energy -9.058 eV per formula unit. Number 4: energy -59.899 eV per formula unit. Number 5: energy -15.069 eV per formula unit. Number 6: energy -44.239 eV per formula unit.